1.
## Ca2CuAs (SCAN)

Data for a PBEsol-optimized structure of Ca2CuAs.

a b c (Å): 4.103 4.142 5.764
angles (deg): 90.00 110.85 90.00
Sites, in units of the cell vectors:
1 As 0.693 0.500 0.387
2 Ca 0.982 0.500 0.964
3 Ca 0.264 0.000 0.528
4 Cu 0.560 0.000 0.121

Results
M_tot, μB per formula unit: 0.0
Symmetry: Amm2
DFT formation energy, kcal/mol of atoms: -17.160
Fermi-level density of states, states/eV per cell: 1.303

2.
## CdPtSe2 (SCAN)

Data for a PBEsol-optimized structure of CdPtSe2.

a b c (Å): 3.703 3.703 6.481
angles (deg): 106.60 106.60 90.00
Sites, in units of the cell vectors:
1 Cd 0.500 0.500 0.000
2 Pt 0.250 0.750 0.500
3 Se 0.000 0.000 0.000
4 Se 0.750 0.250 0.500

Results
M_tot, μB per formula unit: 0.0
Formation energy without anion corrections, eV/atom: 0.192
Symmetry: I-4m2
Fermi-level density of states, states/eV per cell: 3.803

3.
## TbFeAsO (SCAN)

Data for a PBEsol-optimized structure of TbFeAsO.

a b c (Å): 3.855 3.855 8.061
angles (deg): 90.00 90.00 90.00
Site moments in Bohr magnetons follow the coordinates.
Sites, in units of the cell vectors:
1 Tb 0.000 0.500 0.861  -0.01
2 Tb 0.500 0.000 0.139  -0.01
3 Fe 0.000 0.000 0.500  0.58
4 Fe 0.500 0.500 0.500  0.58
5 As 0.000 0.500 0.346  -0.07
6 As 0.500 0.000 0.654  -0.07
7 O 0.000 0.000 0.000  -0.01
8 O 0.500 0.500 0.000  -0.01

Results
M_tot, μB per formula unit: 0.5
Formation energy without anion corrections, eV/atom: -1.932
Symmetry: P4/nmm
Fermi-level density of states, states/eV per cell: 2.134

4.
## SrInRu2 (SCAN)

Data for a PBEsol-optimized structure of SrInRu2.

a b c (Å): 3.004 3.004 9.871
angles (deg): 81.25 81.25 60.00
Sites, in units of the cell vectors:
1 In 0.262 0.262 0.213
2 Ru 0.006 0.006 0.981
3 Ru 0.738 0.738 0.786
4 Sr 0.493 0.493 0.520

Results
M_tot, μB per formula unit: 0.0
Symmetry: R3m
DFT formation energy, kcal/mol of atoms: 16.443
Fermi-level density of states, states/eV per cell: 5.561

5.
## KCdSbI2 (SCAN)

Data for a PBEsol-optimized structure of KCdSbI2.

a b c (Å): 6.225 6.225 6.488
angles (deg): 90.00 90.00 90.00
Site moments in Bohr magnetons follow the coordinates.
Sites, in units of the cell vectors:
1 I 0.000 0.500 0.000  -0.02
2 I 0.500 0.000 0.000  -0.02
3 Sb 0.000 0.000 0.500  0.96
4 K 0.000 0.000 0.000  0.03
5 Cd 0.500 0.500 0.500  -0.22

Results
M_tot, μB per formula unit: 2.0
Formation energy without anion corrections, eV/atom: 0.304
Symmetry: P4/mmm
Fermi-level density of states, states/eV per cell: 5.312

6.
## Ca2Mg (SCAN)

Data for a PBEsol-optimized structure of Ca2Mg.

a b c (Å): 5.527 7.085 10.357
angles (deg): 90.00 90.00 90.00
Sites, in units of the cell vectors:
1 Ca 0.750 0.954 0.783
2 Ca 0.750 0.826 0.432
3 Ca 0.250 0.674 0.932
4 Ca 0.250 0.546 0.283
5 Ca 0.750 0.454 0.717
6 Ca 0.750 0.326 0.068
7 Ca 0.250 0.174 0.568
8 Ca 0.250 0.046 0.217
9 Mg 0.750 0.809 0.102
10 Mg 0.250 0.691 0.602
11 Mg 0.750 0.309 0.398
12 Mg 0.250 0.191 0.898

Results
M_tot, μB per formula unit: 0.0
Symmetry: Pnma
DFT formation energy, kcal/mol of atoms: -0.770
Fermi-level density of states, states/eV per cell: 10.739

7.
## TaNi2Ag (SCAN)

Data for a PBEsol-optimized structure of TaNi2Ag.

a b c (Å): 2.731 3.813 5.242
angles (deg): 90.00 90.00 90.00
Sites, in units of the cell vectors:
1 Ag 0.500 0.500 0.770
2 Ni 0.000 0.000 0.011
3 Ni 0.500 0.500 0.249
4 Ta 0.000 0.000 0.470

Results
M_tot, μB per formula unit: 0.0
Symmetry: Pmm2
DFT formation energy, kcal/mol of atoms: 3.320
Fermi-level density of states, states/eV per cell: 2.350

8.
## Tl2ZnHPb (SCAN)

Data for a PBEsol-optimized structure of Tl2ZnHPb.

a b c (Å): 3.869 5.876 5.876
angles (deg): 90.00 90.00 90.00
Sites, in units of the cell vectors:
1 Pb 0.000 0.000 0.000
2 H 0.500 0.000 0.000
3 Tl 0.000 0.000 0.500
4 Tl 0.000 0.500 0.000
5 Zn 0.500 0.500 0.500

Results
DFT total energy, eV per cell: -235.01
M_tot, μB per formula unit: 0.0
Symmetry: P4/mmm
Fermi-level density of states, states/eV per cell: 2.486

9.
## MnNi2Cl (SCAN)

Data for a PBEsol-optimized structure of MnNi2Cl.

a b c (Å): 2.781 4.179 4.221
angles (deg): 90.00 90.00 90.00
Site moments in Bohr magnetons follow the coordinates.
Sites, in units of the cell vectors:
1 Cl 0.500 0.500 0.000  0.12
2 Mn 0.000 0.500 0.500  3.92
3 Ni 0.000 0.000 0.000  0.84
4 Ni 0.500 0.000 0.500  0.78

Results
M_tot, μB per formula unit: 5.6
Formation energy without anion corrections, eV/atom: 0.274
Symmetry: Pmmm
Fermi-level density of states, states/eV per cell: 2.116

10.
## Mg2CdIr (SCAN)

Data for a PBEsol-optimized structure of Mg2CdIr.

a b c (Å): 3.165 3.165 6.944
angles (deg): 90.00 90.00 90.00
Sites, in units of the cell vectors:
1 Mg 0.000 0.000 0.710
2 Mg 0.000 0.000 0.290
3 Ir 0.500 0.500 0.500
4 Cd 0.500 0.500 0.000

Results
M_tot, μB per formula unit: 0.0
Symmetry: P4/mmm
DFT formation energy, kcal/mol of atoms: -8.612
Fermi-level density of states, states/eV per cell: 1.165

11.
## KRb2Na2 (SCAN)

Data for a PBEsol-optimized structure of KRb2Na2.

a b c (Å): 4.534 11.699 11.699
angles (deg): 90.00 90.00 90.00
Sites, in units of the cell vectors:
1 Na 0.500 0.161 0.661
2 Na 0.500 0.661 0.839
3 Na 0.500 0.839 0.339
4 Na 0.500 0.339 0.161
5 K 0.000 0.000 0.000
6 K 0.000 0.500 0.500
7 Rb 0.000 0.362 0.862
8 Rb 0.000 0.862 0.638
9 Rb 0.000 0.638 0.138
10 Rb 0.000 0.138 0.362

Results
M_tot, μB per formula unit: 0.1
Symmetry: P4/mbm
DFT formation energy, kcal/mol of atoms: 1.249
Fermi-level density of states, states/eV per cell: 6.434

12.
## LiTlCu (SCAN)

Data for a PBEsol-optimized structure of LiTlCu.

a b c (Å): 3.143 3.143 6.398
angles (deg): 90.00 90.00 120.00
Sites, in units of the cell vectors:
1 Cu 0.000 0.000 0.989
2 Li 0.333 0.667 0.691
3 Tl 0.667 0.333 0.321

Results
M_tot, μB per formula unit: 0.0
Symmetry: P3m1
DFT formation energy, kcal/mol of atoms: 4.448
Fermi-level density of states, states/eV per cell: 0.980